1.
VASP calculation (GGA-PBE) on an optimized crystal structure of CaPm2PrBi4.

## Properties
ΔE_f: -6.86 eV/f.u.
E: -4.833 eV per atom

abc: 9.204 13.037 9.212
angles: 90.00 90.00 90.00
Space group Fmm2 (No. 42)
Inequivalent atoms, fractional coordinates:
Ca  0.000  0.000  0.000 (multiplicity 4)
Pm  0.250  0.250  0.251 (multiplicity 8)
Pr  0.000  0.000  0.500 (multiplicity 4)
Bi  0.000  0.249  0.501 (multiplicity 8)
Bi  0.250  0.000  0.250 (multiplicity 8)

***

2.
VASP calculation (GGA-PBE) on an optimized crystal structure of CaPmBiPt.

## Properties
ΔE_f: -3.23 eV/f.u.
E: -4.977 eV per atom

abc: 7.501 7.501 7.501
angles: 90.00 90.00 90.00
Space group F-43m (No. 216)
Inequivalent atoms, fractional coordinates:
Ca  0.000  0.000  0.000 (multiplicity 4)
Pm  0.000  0.000  0.500 (multiplicity 4)
Bi  0.250  0.250  0.750 (multiplicity 4)
Pt  0.250  0.250  0.250 (multiplicity 4)

***

3.
VASP calculation (GGA-PBE) on an optimized crystal structure of CaPmBi4Rh2.

## Properties
ΔE_f: -3.05 eV/f.u.
E: -5.003 eV per atom

abc: 4.712 4.712 10.317
angles: 90.00 90.00 90.00
Space group P4/mmm (No. 123)
Inequivalent atoms, fractional coordinates:
Ca  0.000  0.000  0.000 (multiplicity 1)
Pm  0.000  0.000  0.500 (multiplicity 1)
Bi  0.000  0.500  0.238 (multiplicity 4)
Rh  0.500  0.500  0.373 (multiplicity 2)

***

4.
VASP calculation (GGA-PBE) on an optimized crystal structure of CaPmBiRh.

## Properties
ΔE_f: -2.11 eV/f.u.
E: -5.024 eV per atom

abc: 7.432 7.432 7.432
angles: 90.00 90.00 90.00
Space group F-43m (No. 216)
Inequivalent atoms, fractional coordinates:
Ca  0.000  0.000  0.000 (multiplicity 4)
Pm  0.000  0.000  0.500 (multiplicity 4)
Bi  0.250  0.250  0.750 (multiplicity 4)
Rh  0.250  0.250  0.250 (multiplicity 4)

***

5.
VASP calculation (GGA-PBE) on an optimized crystal structure of Ca3PmBi2S.

## Properties
formation energy (no corrections): -1.084 eV/atom
E: -4.319 eV per atom

abc: 5.199 5.338 16.568
angles: 90.00 90.00 90.00
Space group Immm (No. 71)
Inequivalent atoms, fractional coordinates:
Ca  0.000  0.000  0.000 (multiplicity 2)
Ca  0.000  0.500  0.328 (multiplicity 4)
Pm  0.000  0.000  0.500 (multiplicity 2)
Bi  0.000  0.500  0.135 (multiplicity 4)
S  0.000  0.500  0.500 (multiplicity 2)

***

6.
VASP calculation (GGA-PBE) on an optimized crystal structure of CaPmBiSb.

## Properties
formation energy (no corrections): -0.747 eV/atom
E: -4.436 eV per atom

abc: 7.860 7.860 7.860
angles: 90.00 90.00 90.00
Space group F-43m (No. 216)
Inequivalent atoms, fractional coordinates:
Ca  0.000  0.000  0.000 (multiplicity 4)
Pm  0.000  0.000  0.500 (multiplicity 4)
Bi  0.250  0.250  0.750 (multiplicity 4)
Sb  0.250  0.250  0.250 (multiplicity 4)

***

7.
VASP calculation (GGA-PBE) on an optimized crystal structure of CaPm3Sm2Bi6.

## Properties
ΔE_f: -10.61 eV/f.u.
E: -4.965 eV per atom

abc: 19.976 4.576 9.167
angles: 90.00 103.21 90.00
Space group C2/m (No. 12)
Inequivalent atoms, fractional coordinates:
Ca  0.000  0.000  0.000 (multiplicity 2)
Pm  0.000  0.000  0.500 (multiplicity 2)
Pm  0.166  0.500  0.835 (multiplicity 4)
Sm  0.166  0.500  0.332 (multiplicity 4)
Bi  0.001  0.500  0.252 (multiplicity 4)
Bi  0.167  0.000  0.085 (multiplicity 4)
Bi  0.167  0.000  0.583 (multiplicity 4)

***

8.
VASP calculation (GGA-PBE) on an optimized crystal structure of CaPmSm2Bi4.

## Properties
ΔE_f: -6.81 eV/f.u.
E: -4.816 eV per atom

abc: 7.946 4.558 7.954
angles: 90.00 109.26 90.00
Space group P2/m (No. 10)
Inequivalent atoms, fractional coordinates:
Ca  0.000  0.000  0.000 (multiplicity 1)
Pm  0.500  0.500  0.000 (multiplicity 1)
Sm  0.000  0.500  0.500 (multiplicity 1)
Sm  0.500  0.000  0.500 (multiplicity 1)
Bi  0.250  0.000  0.748 (multiplicity 2)
Bi  0.252  0.500  0.253 (multiplicity 2)

***

9.
VASP calculation (GGA-PBE) on an optimized crystal structure of CaTb2PmBi4.

## Properties
ΔE_f: -6.58 eV/f.u.
E: -4.764 eV per atom

abc: 9.090 12.855 9.081
angles: 90.00 90.00 90.00
Space group Fmm2 (No. 42)
Inequivalent atoms, fractional coordinates:
Ca  0.000  0.000  0.000 (multiplicity 4)
Tb  0.250  0.250  0.249 (multiplicity 8)
Pm  0.000  0.000  0.499 (multiplicity 4)
Bi  0.000  0.249  0.499 (multiplicity 8)
Bi  0.250  0.000  0.250 (multiplicity 8)

***

10.
VASP calculation (GGA-PBE) on an optimized crystal structure of CaPmBiTe.

## Properties
formation energy (no corrections): -1.222 eV/atom
E: -4.666 eV per atom

abc: 4.5660 4.5660 22.3984
angles: 90.00 90.00 120.00
Space group R3m (No. 160, hexagonal axes)
Inequivalent atoms, fractional coordinates:
Ca  0.0000  0.0000  0.0000 (multiplicity 3)
Pm  0.0000  0.0000  0.4958 (multiplicity 3)
Bi  0.0000  0.0000  0.7496 (multiplicity 3)
Te  0.0000  0.0000  0.2483 (multiplicity 3)

***

11.
VASP calculation (GGA-PBE) on an optimized crystal structure of CaPmTh2Bi4.

## Properties
ΔE_f: -6.09 eV/f.u.
E: -5.401 eV per atom

abc: 7.941 4.605 7.981
angles: 90.00 109.53 90.00
Space group P2/m (No. 10)
Inequivalent atoms, fractional coordinates:
Ca  0.000  0.000  0.000 (multiplicity 1)
Pm  0.000  0.500  0.500 (multiplicity 1)
Th  0.500  0.000  0.500 (multiplicity 1)
Th  0.500  0.500  0.000 (multiplicity 1)
Bi  0.249  0.000  0.750 (multiplicity 2)
Bi  0.250  0.500  0.250 (multiplicity 2)

***

12.
VASP calculation (GGA-PBE) on an optimized crystal structure of Ca2PmThBi4.

## Properties
ΔE_f: -6.07 eV/f.u.
E: -4.721 eV per atom

abc: 7.974 4.622 8.013
angles: 90.00 109.59 90.00
Space group P2/m (No. 10)
Inequivalent atoms, fractional coordinates:
Ca  0.000  0.000  0.000 (multiplicity 1)
Ca  0.000  0.500  0.500 (multiplicity 1)
Pm  0.500  0.000  0.500 (multiplicity 1)
Th  0.500  0.500  0.000 (multiplicity 1)
Bi  0.254  0.000  0.751 (multiplicity 2)
Bi  0.254  0.500  0.251 (multiplicity 2)

***

13.
VASP calculation (GGA-PBE) on an optimized crystal structure of CaPm2ThBi4.

## Properties
ΔE_f: -6.64 eV/f.u.
E: -5.136 eV per atom

abc: 7.937 4.605 7.969
angles: 90.00 109.29 90.00
Space group P2/m (No. 10)
Inequivalent atoms, fractional coordinates:
Ca  0.000  0.000  0.000 (multiplicity 1)
Pm  0.000  0.500  0.500 (multiplicity 1)
Pm  0.500  0.000  0.500 (multiplicity 1)
Th  0.500  0.500  0.000 (multiplicity 1)
Bi  0.250  0.000  0.750 (multiplicity 2)
Bi  0.252  0.500  0.250 (multiplicity 2)

***

14.
VASP calculation (GGA-PBE) on an optimized crystal structure of CaPm2Tm3Bi6.

## Properties
ΔE_f: -9.79 eV/f.u.
E: -4.833 eV per atom

abc: 19.703 4.507 9.045
angles: 90.00 103.48 90.00
Space group C2/m (No. 12)
Inequivalent atoms, fractional coordinates:
Ca  0.000  0.000  0.000 (multiplicity 2)
Pm  0.166  0.500  0.330 (multiplicity 4)
Tm  0.000  0.000  0.500 (multiplicity 2)
Tm  0.166  0.500  0.833 (multiplicity 4)
Bi  0.003  0.500  0.743 (multiplicity 4)
Bi  0.165  0.000  0.588 (multiplicity 4)
Bi  0.169  0.000  0.077 (multiplicity 4)

***

15.
VASP calculation (GGA-PBE) on an optimized crystal structure of CaPm3Y2Bi6.

## Properties
ΔE_f: -10.50 eV/f.u.
E: -5.247 eV per atom

abc: 19.845 4.552 9.112
angles: 90.00 102.99 90.00
Space group C2/m (No. 12)
Inequivalent atoms, fractional coordinates:
Ca  0.000  0.000  0.000 (multiplicity 2)
Pm  0.000  0.000  0.500 (multiplicity 2)
Pm  0.165  0.500  0.835 (multiplicity 4)
Y  0.167  0.500  0.333 (multiplicity 4)
Bi  0.002  0.500  0.253 (multiplicity 4)
Bi  0.168  0.000  0.089 (multiplicity 4)
Bi  0.168  0.000  0.580 (multiplicity 4)

***

16.
VASP calculation (GGA-PBE) on an optimized crystal structure of CaPm2YBi4.

## Properties
ΔE_f: -6.78 eV/f.u.
E: -5.033 eV per atom

abc: 7.897 4.542 7.950
angles: 90.00 109.25 90.00
Space group P2/m (No. 10)
Inequivalent atoms, fractional coordinates:
Ca  0.000  0.000  0.000 (multiplicity 1)
Pm  0.500  0.000  0.500 (multiplicity 1)
Pm  0.500  0.500  0.000 (multiplicity 1)
Y  0.000  0.500  0.500 (multiplicity 1)
Bi  0.246  0.000  0.746 (multiplicity 2)
Bi  0.249  0.500  0.254 (multiplicity 2)

***

17.
VASP calculation (GGA-PBE) on an optimized crystal structure of CaPr2Bi.

## Properties
ΔE_f: -1.59 eV/f.u.
E: -4.257 eV per atom

abc: 5.005 5.005 5.170
angles: 90.00 90.00 90.00
Space group P4/mmm (No. 123)
Inequivalent atoms, fractional coordinates:
Ca  0.000  0.000  0.000 (multiplicity 1)
Pr  0.000  0.500  0.500 (multiplicity 2)
Bi  0.500  0.500  0.000 (multiplicity 1)

***

18.
VASP calculation (GGA-PBE) on an optimized crystal structure of CaPr3Bi4.

## Properties
ΔE_f: -6.91 eV/f.u.
E: -4.847 eV per atom

abc: 6.559 6.559 6.559
angles: 90.00 90.00 90.00
Space group Pm-3m (No. 221)
Inequivalent atoms, fractional coordinates:
Ca  0.000  0.000  0.000 (multiplicity 1)
Pr  0.000  0.500  0.500 (multiplicity 3)
Bi  0.000  0.000  0.500 (multiplicity 3)
Bi  0.500  0.500  0.500 (multiplicity 1)

***

19.
VASP calculation (GGA-PBE) on an optimized crystal structure of Ca5PrBi5.

## Properties
ΔE_f: -7.55 eV/f.u.
E: -3.795 eV per atom

abc: 15.202 6.449 9.018
angles: 90.00 107.46 90.00
Space group C2/m (No. 12)
Inequivalent atoms, fractional coordinates:
Ca  0.000  0.000  0.000 (multiplicity 2)
Ca  0.178  0.500  0.822 (multiplicity 4)
Ca  0.181  0.500  0.359 (multiplicity 4)
Pr  0.000  0.000  0.500 (multiplicity 2)
Bi  0.000  0.500  0.500 (multiplicity 2)
Bi  0.154  0.000  0.319 (multiplicity 4)
Bi  0.164  0.000  0.837 (multiplicity 4)

***

20.
VASP calculation (GGA-PBE) on an optimized crystal structure of CaPr5Bi4.

## Properties
ΔE_f: -6.20 eV/f.u.
E: -4.762 eV per atom

abc: 16.469 5.311 8.201
angles: 90.00 90.54 90.00
Space group C2/m (No. 12)
Inequivalent atoms, fractional coordinates:
Ca  0.000  0.000  0.000 (multiplicity 2)
Pr  0.000  0.000  0.500 (multiplicity 2)
Pr  0.160  0.500  0.986 (multiplicity 4)
Pr  0.162  0.500  0.512 (multiplicity 4)
Bi  0.014  0.500  0.249 (multiplicity 4)
Bi  0.185  0.000  0.754 (multiplicity 4)

***

21.
VASP calculation (GGA-PBE) on an optimized crystal structure of CaPr2Bi.

## Properties
ΔE_f: -1.66 eV/f.u.
E: -4.275 eV per atom

abc: 4.402 4.402 6.969
angles: 90.00 90.00 90.00
Space group P4/mmm (No. 123)
Inequivalent atoms, fractional coordinates:
Ca  0.000  0.000  0.000 (multiplicity 1)
Pr  0.500  0.500  0.265 (multiplicity 2)
Bi  0.000  0.000  0.500 (multiplicity 1)

***

22.
VASP calculation (GGA-PBE) on an optimized crystal structure of CaPr2Bi.

## Properties
ΔE_f: 0.12 eV/f.u.
E: -3.831 eV per atom

abc: 3.6515 3.6515 38.4073
angles: 90.00 90.00 120.00
Space group R-3m (No. 166, hexagonal axes)
Inequivalent atoms, fractional coordinates:
Ca  0.0000  0.0000  0.0000 (multiplicity 3)
Pr  0.0000  0.0000  0.4157 (multiplicity 6)
Bi  0.0000  0.0000  0.5000 (multiplicity 3)